# SrTmAu2 | Alexandria | GGA-PBE | optimized geometry
# Formation energy: -697 meV per atom
# D(E_F): 2.22 states/eV/f.u.
# ΔE to the lowest computed polymorph: 0.112 eV/atom
data_SrTmAu2
_space_group_name_H-M_alt 'R 3 m'
_space_group_IT_number 160
_space_group_name_Hall 'R 3 -2"'
_cell_length_a 4.1781
_cell_length_b 4.1781
_cell_length_c 22.7205
_cell_angle_alpha 90.00
_cell_angle_beta 90.00
_cell_angle_gamma 120.00
loop_
_atom_site_label
_atom_site_type_symbol
_atom_site_fract_x
_atom_site_fract_y
_atom_site_fract_z
_atom_site_occupancy
Sr1 Sr 0.0000 0.0000 0.0000 1
Tm1 Tm 0.0000 0.0000 0.8301 1
Au1 Au 0.0000 0.0000 0.2368 1
Au2 Au 0.0000 0.0000 0.4267 1